Record 1
Computed, not measured: crystalline AlZn6Ag5 at its relaxed geometry at the PBE level of DFT.

Structure (CIF):
```
data_AlZn6Ag5
_cell_length_a 5.0040
_cell_length_b 9.2323
_cell_length_c 6.2850
_cell_angle_alpha 42.74
_cell_angle_beta 82.92
_cell_angle_gamma 80.34
_symmetry_space_group_name_H-M 'P 1'
_symmetry_Int_Tables_number 1
_symmetry_space_group_name_Hall 'P 1'
loop_
_atom_site_label
_atom_site_type_symbol
_atom_site_fract_x
_atom_site_fract_y
_atom_site_fract_z
Ag1 Ag 0.0000 0.3270 0.3459
Ag2 Ag 0.5000 0.1626 0.6747
Ag3 Ag 0.5000 0.8374 0.3253
Ag4 Ag 0.0000 0.6730 0.6541
Ag5 Ag 0.5000 0.5000 0.0000
Zn1 Zn 0.7613 0.7481 0.0000
Zn2 Zn 0.7461 0.4145 0.6706
Zn3 Zn 0.2539 0.9148 0.6706
Zn4 Zn 0.2539 0.5855 0.3293
Zn5 Zn 0.7461 0.0852 0.3293
Zn6 Zn 0.2387 0.2519 0.0000
Al1 Al 0.0000 0.0000 0.0000
```

Summary:
Fermi-level density of states, states/eV per cell: 3.06
VASP energy, eV per atom: -2.154
Magnetic moment, μB per formula unit: 0.000
Symmetry: C2/m
ΔE_f, eV/atom: -0.02

---

Record 2
Computed, not measured: crystalline Pr2Y8Ho3 at its relaxed geometry at the PBE level of DFT.

Structure (CIF):
```
data_Pr2Y8Ho3
_cell_length_a 3.5291
_cell_length_b 11.7784
_cell_length_c 20.7904
_cell_angle_alpha 90.00
_cell_angle_beta 89.99
_cell_angle_gamma 90.00
_symmetry_space_group_name_H-M 'P 1'
_symmetry_Int_Tables_number 1
_symmetry_space_group_name_Hall 'P 1'
loop_
_atom_site_label
_atom_site_type_symbol
_atom_site_fract_x
_atom_site_fract_y
_atom_site_fract_z
Pr1 Pr 0.5000 0.8215 0.0995
Pr2 Pr 0.5000 0.3215 0.4005
Pr3 Pr 0.5000 0.1785 0.9005
Pr4 Pr 0.5000 0.6785 0.5995
Ho1 Ho 0.0000 0.8552 0.7011
Ho2 Ho 0.0000 0.1448 0.2989
Ho3 Ho 0.0000 0.6448 0.2011
Ho4 Ho 0.0000 0.5000 0.5000
Ho5 Ho 0.0000 0.3552 0.7989
Ho6 Ho 0.0000 0.0000 0.0000
Y1 Y 0.5000 0.1291 0.7136
Y2 Y 0.0000 0.5554 0.3412
Y3 Y 0.0000 0.4446 0.6588
Y4 Y 0.0000 0.9446 0.8412
Y5 Y 0.0000 0.7081 0.9469
Y6 Y 0.0000 0.0554 0.1588
Y7 Y 0.0000 0.7919 0.4469
Y8 Y 0.5000 0.8709 0.2864
Y9 Y 0.5000 0.0458 0.4284
Y10 Y 0.5000 0.9542 0.5716
Y11 Y 0.0000 0.2081 0.5531
Y12 Y 0.5000 0.3709 0.2136
Y13 Y 0.5000 0.4542 0.9284
Y14 Y 0.5000 0.6291 0.7864
Y15 Y 0.0000 0.2919 0.0531
Y16 Y 0.5000 0.5458 0.0716
```

Summary:
Fermi-level density of states, states/eV per cell: 40.73
VASP energy, eV per atom: -5.621
Magnetic moment, μB per formula unit: 0.000
Symmetry: Pbam
Energy relative to the lowest polymorph listed for this composition, meV per atom: 0
ΔE_f, eV/atom: 0.15

---

Record 3
Computed, not measured: crystalline CsPmIrO4 at its relaxed geometry at the PBE level of DFT.

Structure (CIF):
```
data_CsPmIrO4
_cell_length_a 6.6986
_cell_length_b 6.9444
_cell_length_c 7.5934
_cell_angle_alpha 123.14
_cell_angle_beta 90.00
_cell_angle_gamma 118.84
_symmetry_space_group_name_H-M 'P 1'
_symmetry_Int_Tables_number 1
_symmetry_space_group_name_Hall 'P 1'
loop_
_atom_site_label
_atom_site_type_symbol
_atom_site_fract_x
_atom_site_fract_y
_atom_site_fract_z
Pm1 Pm 0.5000 0.0000 0.0000
Pm2 Pm 0.5000 0.0000 0.5000
O1 O 0.7462 0.4925 0.6571
O2 O 0.7462 0.4925 0.3354
O3 O 0.2538 0.5075 0.6646
O4 O 0.2549 0.9327 0.7163
O5 O 0.6777 0.9327 0.7163
O6 O 0.2538 0.5075 0.3429
O7 O 0.3223 0.0673 0.2837
O8 O 0.7451 0.0673 0.2837
Ir1 Ir 0.5000 0.5000 0.5000
Ir2 Ir 0.0000 0.5000 0.5000
Cs1 Cs 0.1521 0.3041 0.9021
Cs2 Cs 0.8479 0.6959 0.0979
```

Summary:
Fermi-level density of states, states/eV per cell: 6.43
VASP energy, eV per atom: -6.556
Magnetic moment, μB per formula unit: 0.778
Symmetry: Imma
E_form (uncorrected), meV per atom: -1656

---

Record 4
Computed, not measured: crystalline Y2TiPdC at its relaxed geometry at the PBE level of DFT.

Structure (CIF):
```
data_Y2TiPdC
_cell_length_a 4.9275
_cell_length_b 4.9275
_cell_length_c 4.0872
_cell_angle_alpha 90.00
_cell_angle_beta 90.00
_cell_angle_gamma 90.00
_symmetry_space_group_name_H-M 'P 1'
_symmetry_Int_Tables_number 1
_symmetry_space_group_name_Hall 'P 1'
loop_
_atom_site_label
_atom_site_type_symbol
_atom_site_fract_x
_atom_site_fract_y
_atom_site_fract_z
Pd1 Pd 0.5000 0.5000 0.5000
Ti1 Ti 0.0000 0.0000 0.5000
Y1 Y 0.0000 0.5000 0.0000
Y2 Y 0.5000 0.0000 0.0000
C1 C 0.0000 0.0000 0.0000
```

Summary:
Fermi-level density of states, states/eV per cell: 4.01
VASP energy, eV per atom: -7.477
Magnetic moment, μB per formula unit: 0.000
Symmetry: P4/mmm
Energy relative to the lowest polymorph listed for this composition, meV per atom: 0
ΔE_f, eV/atom: -0.43

---

Record 5
Computed, not measured: crystalline CuIr3 at its relaxed geometry at the PBE level of DFT.

Structure (CIF):
```
data_CuIr3
_cell_length_a 5.4420
_cell_length_b 5.4420
_cell_length_c 4.3939
_cell_angle_alpha 90.00
_cell_angle_beta 90.00
_cell_angle_gamma 120.00
_symmetry_space_group_name_H-M 'P 1'
_symmetry_Int_Tables_number 1
_symmetry_space_group_name_Hall 'P 1'
loop_
_atom_site_label
_atom_site_type_symbol
_atom_site_fract_x
_atom_site_fract_y
_atom_site_fract_z
Ir1 Ir 0.1702 0.8298 0.7500
Ir2 Ir 0.1702 0.3403 0.7500
Ir3 Ir 0.8298 0.6597 0.2500
Ir4 Ir 0.3403 0.1702 0.2500
Ir5 Ir 0.6597 0.8298 0.7500
Ir6 Ir 0.8298 0.1702 0.2500
Cu1 Cu 0.3333 0.6667 0.2500
Cu2 Cu 0.6667 0.3333 0.7500
```

Summary:
Fermi-level density of states, states/eV per cell: 15.95
VASP energy, eV per atom: -7.462
Magnetic moment, μB per formula unit: 0.003
Symmetry: P6_3/mmc
ΔE_f, eV/atom: 0.21

---

Record 6
Computed, not measured: crystalline BaBeP2 at its relaxed geometry at the PBE level of DFT.

Structure (CIF):
```
data_BaBeP2
_cell_length_a 4.1150
_cell_length_b 4.1150
_cell_length_c 6.9640
_cell_angle_alpha 90.00
_cell_angle_beta 90.00
_cell_angle_gamma 124.07
_symmetry_space_group_name_H-M 'P 1'
_symmetry_Int_Tables_number 1
_symmetry_space_group_name_Hall 'P 1'
loop_
_atom_site_label
_atom_site_type_symbol
_atom_site_fract_x
_atom_site_fract_y
_atom_site_fract_z
Ba1 Ba 0.5000 0.5000 0.2500
P1 P 0.0000 0.0000 0.5884
P2 P 0.0000 0.0000 0.9116
Be1 Be 0.5000 0.5000 0.7500
```

Summary:
Fermi-level density of states, states/eV per cell: 1.24
VASP energy, eV per atom: -4.262
Magnetic moment, μB per formula unit: 0.000
Symmetry: Cmmm
Energy relative to the lowest polymorph listed for this composition, meV per atom: 448
ΔE_f, eV/atom: -0.14

---

Record 7
Computed, not measured: crystalline Ag2Sn2Te3 at its relaxed geometry at the PBE level of DFT.

Structure (CIF):
```
data_Ag2Sn2Te3
_cell_length_a 7.6409
_cell_length_b 8.0555
_cell_length_c 8.2499
_cell_angle_alpha 90.00
_cell_angle_beta 90.00
_cell_angle_gamma 116.86
_symmetry_space_group_name_H-M 'P 1'
_symmetry_Int_Tables_number 1
_symmetry_space_group_name_Hall 'P 1'
loop_
_atom_site_label
_atom_site_type_symbol
_atom_site_fract_x
_atom_site_fract_y
_atom_site_fract_z
Ag1 Ag 0.9719 0.6482 0.4187
Ag2 Ag 0.0281 0.3518 0.5813
Ag3 Ag 0.5281 0.3518 0.9187
Ag4 Ag 0.4719 0.6482 0.0813
Te1 Te 0.1505 0.3539 0.9146
Te2 Te 0.8495 0.6461 0.0854
Te3 Te 0.5000 0.0000 0.0000
Te4 Te 0.0000 0.0000 0.5000
Te5 Te 0.3495 0.6461 0.4146
Te6 Te 0.6505 0.3539 0.5854
Sn1 Sn 0.8526 0.2777 0.1845
Sn2 Sn 0.1474 0.7223 0.8155
Sn3 Sn 0.3526 0.2777 0.3155
Sn4 Sn 0.6474 0.7223 0.6845
```

Summary:
VASP energy, eV per atom: -3.386
Magnetic moment, μB per formula unit: 0.000
Symmetry: P2_1/c
E_form (uncorrected), meV per atom: -81
Energy relative to the lowest polymorph listed for this composition, meV per atom: 25

---

Record 8
Computed, not measured: crystalline CeEr3Rh8 at its relaxed geometry at the PBE level of DFT.

Structure (CIF):
```
data_CeEr3Rh8
_cell_length_a 5.3292
_cell_length_b 5.3292
_cell_length_c 9.2231
_cell_angle_alpha 73.21
_cell_angle_beta 73.21
_cell_angle_gamma 60.00
_symmetry_space_group_name_H-M 'P 1'
_symmetry_Int_Tables_number 1
_symmetry_space_group_name_Hall 'P 1'
loop_
_atom_site_label
_atom_site_type_symbol
_atom_site_fract_x
_atom_site_fract_y
_atom_site_fract_z
Er1 Er 0.3745 0.3745 0.8766
Er2 Er 0.0009 0.0009 0.9973
Er3 Er 0.4992 0.4992 0.5024
Rh1 Rh 0.9372 0.9372 0.6881
Rh2 Rh 0.6876 0.6876 0.9373
Rh3 Rh 0.9372 0.4375 0.6881
Rh4 Rh 0.9364 0.4384 0.1868
Rh5 Rh 0.4384 0.4384 0.1868
Rh6 Rh 0.1873 0.1873 0.4382
Rh7 Rh 0.4375 0.9372 0.6881
Rh8 Rh 0.4384 0.9364 0.1868
Ce1 Ce 0.8756 0.8756 0.3733
```

Summary:
Fermi-level density of states, states/eV per cell: 9.62
VASP energy, eV per atom: -7.278
Magnetic moment, μB per formula unit: 0.145
Symmetry: R3m
ΔE_f, eV/atom: -0.74

---

Record 9
Computed, not measured: crystalline TaBSCl2 at its relaxed geometry at the PBE level of DFT.

Structure (CIF):
```
data_TaBSCl2
_cell_length_a 4.2259
_cell_length_b 4.2259
_cell_length_c 4.3815
_cell_angle_alpha 90.00
_cell_angle_beta 90.00
_cell_angle_gamma 90.00
_symmetry_space_group_name_H-M 'P 1'
_symmetry_Int_Tables_number 1
_symmetry_space_group_name_Hall 'P 1'
loop_
_atom_site_label
_atom_site_type_symbol
_atom_site_fract_x
_atom_site_fract_y
_atom_site_fract_z
Cl1 Cl 0.0000 0.5000 0.0000
Cl2 Cl 0.5000 0.0000 0.0000
Ta1 Ta 0.5000 0.5000 0.5000
B1 B 0.0000 0.0000 0.0000
S1 S 0.0000 0.0000 0.5000
```

Summary:
Fermi-level density of states, states/eV per cell: 2.37
VASP energy, eV per atom: -4.405
Magnetic moment, μB per formula unit: 2.770
Symmetry: P4/mmm
E_form (uncorrected), meV per atom: 865
Energy relative to the lowest polymorph listed for this composition, meV per atom: 399

---

Record 10
Computed, not measured: crystalline SmMgCl at its relaxed geometry at the PBE level of DFT.

Structure (CIF):
```
data_SmMgCl
_cell_length_a 3.5081
_cell_length_b 3.5104
_cell_length_c 16.9710
_cell_angle_alpha 90.00
_cell_angle_beta 90.00
_cell_angle_gamma 119.98
_symmetry_space_group_name_H-M 'P 1'
_symmetry_Int_Tables_number 1
_symmetry_space_group_name_Hall 'P 1'
loop_
_atom_site_label
_atom_site_type_symbol
_atom_site_fract_x
_atom_site_fract_y
_atom_site_fract_z
Mg1 Mg 0.5215 0.0430 0.0000
Mg2 Mg 0.3662 0.7324 0.5000
Cl1 Cl 0.1887 0.3775 0.0917
Cl2 Cl 0.1887 0.3775 0.9083
Sm1 Sm 0.7007 0.4014 0.3385
Sm2 Sm 0.7007 0.4014 0.6615
```

Summary:
Fermi-level density of states, states/eV per cell: 4.77
VASP energy, eV per atom: -3.327
Magnetic moment, μB per formula unit: 0.000
Symmetry: Amm2
E_form (uncorrected), meV per atom: -607